The following is a PBE-GGA calculation of a relaxed Dy3In3CuIr2 crystal, from OQMD.

Values from the calculation:
Crystal system: hexagonal
V, Å³ per atom: 21.161
E, eV/atom: -5.457
Total moment, μB/f.u.: 0.01
Space group: P-62m (189)

Unit cell a=7.5282 b=7.5282 c=3.8803 alpha=90.00 beta=90.00 gamma=120.00
Last column: nearest neighbours and their distance in Å.
Fractional coordinates of all 9 atoms:
1 Dy 0.0000 0.5883 0.0000  4 Ir 2.99, 1 Cu 3.10, 6 In 3.18-3.33
2 Dy 0.4117 0.4117 0.0000  4 Ir 2.99, 1 Cu 3.10, 6 In 3.18-3.33
3 Dy 0.5883 0.0000 0.0000  4 Ir 2.99, 1 Cu 3.10, 6 In 3.18-3.33
4 In 0.0000 0.2538 0.5000  2 Cu 2.72, 2 Ir 2.86
5 In 0.2538 0.0000 0.5000  2 Cu 2.72, 2 Ir 2.86
6 In 0.7462 0.7462 0.5000  2 Cu 2.72, 2 Ir 2.86
7 Cu 0.0000 0.0000 0.0000  6 In 2.72
8 Ir 0.3333 0.6667 0.5000  3 In 2.86, 6 Dy 2.99
9 Ir 0.6667 0.3333 0.5000  3 In 2.86, 6 Dy 2.99


The following is a PBE-GGA calculation of a relaxed CsKCuAs crystal, from OQMD.

Values from the calculation:
Crystal system: orthorhombic
V, Å³ per atom: 32.571
Space group: Amm2 (38)
Energy above the lowest structure with this stoichiometry, meV per atom: 19

Unit cell a=6.2949 b=10.8459 c=7.6330 alpha=90.00 beta=90.00 gamma=90.00
Last column: nearest neighbours and their distance in Å.
Fractional coordinates of all 16 atoms:
1 Cs 0.0000 0.1703 0.0000  4 As 3.63-3.76, 2 Cu 3.63, 1 Cs 3.69, 4 K 3.89-3.96
2 Cs 0.0000 0.3297 0.5000  4 As 3.63-3.76, 2 Cu 3.63, 1 Cs 3.69, 4 K 3.89-3.96
3 Cs 0.0000 0.6703 0.5000  4 As 3.63-3.76, 2 Cu 3.63, 1 Cs 3.69, 4 K 3.89-3.96
4 Cs 0.0000 0.8297 0.0000  4 As 3.63-3.76, 2 Cu 3.63, 1 Cs 3.69, 4 K 3.89-3.96
5 K 0.5000 0.1644 0.3141  2 Cu 3.48, 1 K 3.57, 4 As 3.67-3.77, 2 Cs 3.89
6 K 0.5000 0.3356 0.8141  2 Cu 3.48, 1 K 3.57, 4 As 3.67-3.77, 2 Cs 3.89
7 K 0.5000 0.6644 0.8141  2 Cu 3.48, 1 K 3.57, 4 As 3.67-3.77, 2 Cs 3.89
8 K 0.5000 0.8356 0.3141  2 Cu 3.48, 1 K 3.57, 4 As 3.67-3.77, 2 Cs 3.89
9 Cu 0.2526 0.0000 0.6474  2 As 2.36
10 Cu 0.2526 0.5000 0.1474  2 As 2.36
11 Cu 0.7474 0.0000 0.6474  2 As 2.36
12 Cu 0.7474 0.5000 0.1474  2 As 2.36
13 As 0.0000 0.0000 0.4190  2 Cu 2.36
14 As 0.0000 0.5000 0.9190  2 Cu 2.36
15 As 0.5000 0.0000 0.8791  2 Cu 2.36
16 As 0.5000 0.5000 0.3791  2 Cu 2.36


The following is a PBE-GGA calculation of a relaxed TcGe2Bi crystal, from OQMD.

Values from the calculation:
Crystal system: cubic
V, Å³ per atom: 19.338
E, eV/atom: -5.331
Total moment, μB/f.u.: 0.00
Space group: F-43m (216)

Unit cell a=6.7635 b=6.7635 c=6.7635 alpha=90.00 beta=90.00 gamma=90.00
Last column: nearest neighbours and their distance in Å.
Fractional coordinates of all 16 atoms:
1 Tc 0.0000 0.0000 0.0000  4 Ge 2.93, 4 Bi 2.93
2 Tc 0.0000 0.5000 0.5000  4 Ge 2.93, 4 Bi 2.93
3 Tc 0.5000 0.0000 0.5000  4 Ge 2.93, 4 Bi 2.93
4 Tc 0.5000 0.5000 0.0000  4 Ge 2.93, 4 Bi 2.93
5 Ge 0.0000 0.0000 0.5000  4 Ge 2.93, 4 Bi 2.93
6 Ge 0.0000 0.5000 0.0000  4 Ge 2.93, 4 Bi 2.93
7 Ge 0.2500 0.2500 0.7500  4 Ge 2.93, 4 Tc 2.93
8 Ge 0.2500 0.7500 0.2500  4 Ge 2.93, 4 Tc 2.93
9 Ge 0.5000 0.0000 0.0000  4 Ge 2.93, 4 Bi 2.93
10 Ge 0.5000 0.5000 0.5000  4 Ge 2.93, 4 Bi 2.93
11 Ge 0.7500 0.2500 0.2500  4 Ge 2.93, 4 Tc 2.93
12 Ge 0.7500 0.7500 0.7500  4 Ge 2.93, 4 Tc 2.93
13 Bi 0.2500 0.2500 0.2500  4 Ge 2.93, 4 Tc 2.93
14 Bi 0.2500 0.7500 0.7500  4 Ge 2.93, 4 Tc 2.93
15 Bi 0.7500 0.2500 0.7500  4 Ge 2.93, 4 Tc 2.93
16 Bi 0.7500 0.7500 0.2500  4 Ge 2.93, 4 Tc 2.93


The following is a PBE-GGA calculation of a relaxed SmCuTeS crystal, from OQMD.

Values from the calculation:
Crystal system: orthorhombic
V, Å³ per atom: 22.751
E, eV/atom: -5.126
Total moment, μB/f.u.: 0.00
Space group: Pbca (61)

Unit cell a=7.5664 b=7.5931 c=12.6721 alpha=90.00 beta=90.00 gamma=90.00
Last column: nearest neighbours and their distance in Å.
Fractional coordinates of all 32 atoms:
1 Sm 0.0215 0.2398 0.0682  4 S 2.82-2.90
2 Sm 0.0215 0.2602 0.5682  4 S 2.82-2.90
3 Sm 0.4785 0.7398 0.0682  4 S 2.82-2.90
4 Sm 0.4785 0.7602 0.5682  4 S 2.82-2.90
5 Sm 0.5215 0.2398 0.4318  4 S 2.82-2.90
6 Sm 0.5215 0.2602 0.9318  4 S 2.82-2.90
7 Sm 0.9785 0.7398 0.4318  4 S 2.82-2.90
8 Sm 0.9785 0.7602 0.9318  4 S 2.82-2.90
9 Cu 0.1679 0.0712 0.2912  1 S 2.30
10 Cu 0.1679 0.4288 0.7912  1 S 2.30
11 Cu 0.3321 0.5712 0.2912  1 S 2.30
12 Cu 0.3321 0.9288 0.7912  1 S 2.30
13 Cu 0.6679 0.0712 0.2088  1 S 2.30
14 Cu 0.6679 0.4288 0.7088  1 S 2.30
15 Cu 0.8321 0.5712 0.2088  1 S 2.30
16 Cu 0.8321 0.9288 0.7088  1 S 2.30
17 Te 0.1109 0.7219 0.6931  3 Cu 2.59-2.64
18 Te 0.1109 0.7781 0.1931  3 Cu 2.59-2.64
19 Te 0.3891 0.2219 0.6931  3 Cu 2.59-2.64
20 Te 0.3891 0.2781 0.1931  3 Cu 2.59-2.64
21 Te 0.6109 0.7219 0.8069  3 Cu 2.59-2.64
22 Te 0.6109 0.7781 0.3069  3 Cu 2.59-2.64
23 Te 0.8891 0.2219 0.8069  3 Cu 2.59-2.64
24 Te 0.8891 0.2781 0.3069  3 Cu 2.59-2.64
25 S 0.2394 0.0021 0.4626  1 Cu 2.30
26 S 0.2394 0.4979 0.9626  1 Cu 2.30
27 S 0.2606 0.5021 0.4626  1 Cu 2.30
28 S 0.2606 0.9979 0.9626  1 Cu 2.30
29 S 0.7394 0.0021 0.0374  1 Cu 2.30
30 S 0.7394 0.4979 0.5374  1 Cu 2.30
31 S 0.7606 0.5021 0.0374  1 Cu 2.30
32 S 0.7606 0.9979 0.5374  1 Cu 2.30


The following is a PBE-GGA calculation of a relaxed RbDyYSe3 crystal, from OQMD.

Values from the calculation:
Crystal system: orthorhombic
V, Å³ per atom: 32.931
E, eV/atom: -5.287
Total moment, μB/f.u.: 0.14
Space group: Cmcm (63)

Unit cell a=8.1831 b=8.1831 c=11.1742 alpha=90.00 beta=90.00 gamma=148.12
Last column: nearest neighbours and their distance in Å.
Fractional coordinates of all 12 atoms:
1 Rb 0.2366 0.7634 0.7500  8 Se 3.54-3.94
2 Rb 0.7634 0.2366 0.2500  8 Se 3.54-3.94
3 Dy 0.5000 0.5000 0.0000  6 Se 2.96-2.99
4 Dy 0.5000 0.5000 0.5000  6 Se 2.96-2.99
5 Y 0.0351 0.9649 0.2500  4 Se 2.71-2.72
6 Y 0.9649 0.0351 0.7500  4 Se 2.71-2.72
7 Se 0.1216 0.8784 0.0407  1 Y 2.71, 2 Dy 2.99
8 Se 0.1216 0.8784 0.4593  1 Y 2.71, 2 Dy 2.99
9 Se 0.4373 0.5627 0.2500  2 Y 2.72, 2 Dy 2.96
10 Se 0.5627 0.4373 0.7500  2 Y 2.72, 2 Dy 2.96
11 Se 0.8784 0.1216 0.5407  1 Y 2.71, 2 Dy 2.99
12 Se 0.8784 0.1216 0.9593  1 Y 2.71, 2 Dy 2.99


The following is a PBE-GGA calculation of a relaxed DyCuGeSe3 crystal, from OQMD.

Values from the calculation:
Crystal system: orthorhombic
V, Å³ per atom: 22.221
Total moment, μB/f.u.: 0.00
Space group: Pnma (62)
Energy above the lowest structure with this stoichiometry, meV per atom: 16

Unit cell a=11.2188 b=4.1027 c=11.5866 alpha=90.00 beta=90.00 gamma=90.00
Last column: nearest neighbours and their distance in Å.
Fractional coordinates of all 24 atoms:
1 Dy 0.0161 0.2500 0.1845  7 Se 2.81-3.09
2 Dy 0.4839 0.7500 0.6845  7 Se 2.81-3.09
3 Dy 0.5161 0.2500 0.3155  7 Se 2.81-3.09
4 Dy 0.9839 0.7500 0.8155  7 Se 2.81-3.09
5 Cu 0.2453 0.7500 0.2919  4 Se 2.40-2.47
6 Cu 0.2547 0.2500 0.7919  4 Se 2.40-2.47
7 Cu 0.7453 0.7500 0.2081  4 Se 2.40-2.47
8 Cu 0.7547 0.2500 0.7081  4 Se 2.40-2.47
9 Ge 0.1660 0.2500 0.5069  5 Se 2.73-2.92
10 Ge 0.3340 0.7500 0.0069  5 Se 2.73-2.92
11 Ge 0.6660 0.2500 0.9931  5 Se 2.73-2.92
12 Ge 0.8340 0.7500 0.4931  5 Se 2.73-2.92
13 Se 0.0432 0.7500 0.3730  1 Cu 2.45, 1 Ge 2.73
14 Se 0.1016 0.2500 0.9363  1 Cu 2.40
15 Se 0.2199 0.7500 0.6777  2 Cu 2.47
16 Se 0.2801 0.2500 0.1777  2 Cu 2.47
17 Se 0.3984 0.7500 0.4363  1 Cu 2.40
18 Se 0.4568 0.2500 0.8730  1 Cu 2.45, 1 Ge 2.73
19 Se 0.5432 0.7500 0.1270  1 Cu 2.45, 1 Ge 2.73
20 Se 0.6016 0.2500 0.5637  1 Cu 2.40
21 Se 0.7199 0.7500 0.8223  2 Cu 2.47
22 Se 0.7801 0.2500 0.3223  2 Cu 2.47
23 Se 0.8984 0.7500 0.0637  1 Cu 2.40
24 Se 0.9568 0.2500 0.6270  1 Cu 2.45, 1 Ge 2.73


The following is a PBE-GGA calculation of a relaxed Dy3Er2Lu2Ir2S2 crystal, from OQMD.

Values from the calculation:
Crystal system: orthorhombic
V, Å³ per atom: 23.253
E, eV/atom: -6.388
Total moment, μB/f.u.: 0.01
Space group: Imm2 (44)

Unit cell a=8.8459 b=8.8459 c=8.8459 alpha=154.76 beta=67.05 gamma=119.03
Last column: nearest neighbours and their distance in Å.
Fractional coordinates of all 11 atoms:
1 Dy 0.0000 0.0000 0.0000  3 S 2.96-3.08
2 Dy 0.1134 0.7515 0.3619  2 S 2.93, 2 Ir 2.93
3 Dy 0.3895 0.7515 0.6381  2 S 2.93, 2 Ir 2.93
4 Er 0.4715 0.5915 0.8800  2 Ir 2.82, 3 S 2.85-2.98
5 Er 0.7115 0.5915 0.1200  2 Ir 2.82, 3 S 2.85-2.98
6 Lu 0.0573 0.3764 0.6810  3 Ir 2.76-2.96, 1 S 2.90
7 Lu 0.6954 0.3764 0.3190  3 Ir 2.76-2.96, 1 S 2.90
8 Ir 0.3138 0.0730 0.2408  3 Lu 2.76-2.96, 2 Er 2.82, 2 Dy 2.93
9 Ir 0.8322 0.0730 0.7592  3 Lu 2.76-2.96, 2 Er 2.82, 2 Dy 2.93
10 S 0.3430 0.3430 0.0000  2 Er 2.85, 5 Dy 2.93-3.08
11 S 0.7497 0.2497 0.5000  2 Lu 2.90, 2 Dy 2.96, 4 Er 2.98


The following is a PBE-GGA calculation of a relaxed Y2Mo4Pb3C3 crystal, from OQMD.

Values from the calculation:
Crystal system: monoclinic
V, Å³ per atom: 17.658
E, eV/atom: -8.016
Total moment, μB/f.u.: 0.01
Space group: C2/c (15)

Unit cell a=5.8509 b=5.8509 c=14.5980 alpha=100.69 beta=100.69 gamma=60.25
Last column: nearest neighbours and their distance in Å.
Fractional coordinates of all 24 atoms:
1 Y 0.0303 0.8747 0.5987  3 C 2.45-2.46
2 Y 0.1253 0.9697 0.9013  3 C 2.45-2.46
3 Y 0.8747 0.0303 0.0987  3 C 2.45-2.46
4 Y 0.9697 0.1253 0.4013  3 C 2.45-2.46
5 Mo 0.1887 0.3444 0.0672  3 C 2.14-2.16
6 Mo 0.3047 0.4892 0.4326  3 C 2.15-2.16
7 Mo 0.3444 0.1887 0.5672  3 C 2.14-2.16
8 Mo 0.4892 0.3047 0.9326  3 C 2.15-2.16
9 Mo 0.5108 0.6953 0.0674  3 C 2.15-2.16
10 Mo 0.6556 0.8113 0.4328  3 C 2.14-2.16
11 Mo 0.6953 0.5108 0.5674  3 C 2.15-2.16
12 Mo 0.8113 0.6556 0.9328  3 C 2.14-2.16
13 Pb 0.0808 0.3029 0.7490  2 Y 3.10-3.11, 4 Mo 3.12-3.25, 4 Pb 3.15-3.17
14 Pb 0.3029 0.0808 0.2490  2 Y 3.10-3.11, 4 Mo 3.12-3.25, 4 Pb 3.15-3.17
15 Pb 0.4636 0.5364 0.7500  2 Y 3.13, 4 Pb 3.15-3.17, 4 Mo 3.16-3.23
16 Pb 0.5364 0.4636 0.2500  2 Y 3.13, 4 Pb 3.15-3.17, 4 Mo 3.16-3.23
17 Pb 0.6971 0.9192 0.7510  2 Y 3.10-3.11, 4 Mo 3.12-3.25, 4 Pb 3.15-3.17
18 Pb 0.9192 0.6971 0.2510  2 Y 3.10-3.11, 4 Mo 3.12-3.25, 4 Pb 3.15-3.17
19 C 0.0000 0.5000 0.5000  4 Mo 2.15-2.16
20 C 0.1763 0.6462 0.9997  4 Mo 2.14-2.16
21 C 0.3538 0.8237 0.5003  4 Mo 2.14-2.16
22 C 0.5000 0.0000 0.0000  4 Mo 2.15-2.16
23 C 0.6462 0.1763 0.4997  4 Mo 2.14-2.16
24 C 0.8237 0.3538 0.0003  4 Mo 2.14-2.16